(1)
# Mo2HOsPt

An optimized crystal structure of Mo2HOsPt (PBE, the Alexandria database).

Output
Distance to the lowest polymorph of the same formula = 0.00 eV/f.u.

Geometry as CIF:
```
data_Mo2HOsPt
_chemical_formula_sum 'Mo2 H1 Os1 Pt1'
_symmetry_space_group_name_H-M 'P 4/m m m'
_symmetry_Int_Tables_number 123
_symmetry_space_group_name_Hall '-P 4 2'
_cell_length_a 3.9773
_cell_length_b 3.9773
_cell_length_c 3.9714
_cell_angle_alpha 90.00
_cell_angle_beta 90.00
_cell_angle_gamma 90.00
loop_
_atom_site_label
_atom_site_fract_x
_atom_site_fract_y
_atom_site_fract_z
_atom_site_occupancy
Mo1 0.0000 0.5000 0.0000 1
H1 0.0000 0.0000 0.0000 1
Os1 0.0000 0.0000 0.5000 1
Pt1 0.5000 0.5000 0.5000 1
```

=====

(2)
# ReMoHOs2

An optimized crystal structure of ReMoHOs2 (PBE, the Alexandria database).

Output
Distance to the lowest polymorph of the same formula = 0.08 eV/f.u.

Geometry as CIF:
```
data_ReMoHOs2
_chemical_formula_sum 'Re1 Mo1 H1 Os2'
_symmetry_space_group_name_H-M 'P 4/m m m'
_symmetry_Int_Tables_number 123
_symmetry_space_group_name_Hall '-P 4 2'
_cell_length_a 3.9391
_cell_length_b 3.9391
_cell_length_c 3.9640
_cell_angle_alpha 90.00
_cell_angle_beta 90.00
_cell_angle_gamma 90.00
loop_
_atom_site_label
_atom_site_fract_x
_atom_site_fract_y
_atom_site_fract_z
_atom_site_occupancy
Re1 0.0000 0.0000 0.0000 1
Mo1 0.5000 0.5000 0.0000 1
H1 0.0000 0.0000 0.5000 1
Os1 0.0000 0.5000 0.5000 1
```

=====

(3)
# ReMoHOs2

An optimized crystal structure of ReMoHOs2 (PBE, the Alexandria database).

Output
Distance to the lowest polymorph of the same formula = 0.00 eV/f.u.

Geometry as CIF:
```
data_ReMoHOs2
_chemical_formula_sum 'Re1 Mo1 H1 Os2'
_symmetry_space_group_name_H-M 'P 4/m m m'
_symmetry_Int_Tables_number 123
_symmetry_space_group_name_Hall '-P 4 2'
_cell_length_a 3.9283
_cell_length_b 3.9283
_cell_length_c 3.9791
_cell_angle_alpha 90.00
_cell_angle_beta 90.00
_cell_angle_gamma 90.00
loop_
_atom_site_label
_atom_site_fract_x
_atom_site_fract_y
_atom_site_fract_z
_atom_site_occupancy
Re1 0.0000 0.0000 0.0000 1
Mo1 0.5000 0.5000 0.0000 1
H1 0.5000 0.5000 0.5000 1
Os1 0.0000 0.5000 0.5000 1
```

=====

(4)
# MoHOs2Rh

An optimized crystal structure of MoHOs2Rh (PBE, the Alexandria database).

Output
Distance to the lowest polymorph of the same formula = 0.17 eV/f.u.

Geometry as CIF:
```
data_MoHOs2Rh
_chemical_formula_sum 'Mo1 H1 Os2 Rh1'
_symmetry_space_group_name_H-M 'P 4/m m m'
_symmetry_Int_Tables_number 123
_symmetry_space_group_name_Hall '-P 4 2'
_cell_length_a 3.9084
_cell_length_b 3.9084
_cell_length_c 3.9650
_cell_angle_alpha 90.00
_cell_angle_beta 90.00
_cell_angle_gamma 90.00
loop_
_atom_site_label
_atom_site_fract_x
_atom_site_fract_y
_atom_site_fract_z
_atom_site_occupancy
Mo1 0.0000 0.0000 0.0000 1
H1 0.0000 0.0000 0.5000 1
Os1 0.0000 0.5000 0.5000 1
Rh1 0.5000 0.5000 0.0000 1
```

=====

(5)
# MoHOs2Rh

An optimized crystal structure of MoHOs2Rh (PBE, the Alexandria database).

Output
Distance to the lowest polymorph of the same formula = 0.00 eV/f.u.

Geometry as CIF:
```
data_MoHOs2Rh
_chemical_formula_sum 'Mo1 H1 Os2 Rh1'
_symmetry_space_group_name_H-M 'P 4/m m m'
_symmetry_Int_Tables_number 123
_symmetry_space_group_name_Hall '-P 4 2'
_cell_length_a 3.9418
_cell_length_b 3.9418
_cell_length_c 3.8950
_cell_angle_alpha 90.00
_cell_angle_beta 90.00
_cell_angle_gamma 90.00
loop_
_atom_site_label
_atom_site_fract_x
_atom_site_fract_y
_atom_site_fract_z
_atom_site_occupancy
Mo1 0.0000 0.0000 0.0000 1
H1 0.5000 0.5000 0.5000 1
Os1 0.0000 0.5000 0.5000 1
Rh1 0.5000 0.5000 0.0000 1
```

=====

(6)
# MoHOsRh2

An optimized crystal structure of MoHOsRh2 (PBE, the Alexandria database).

Output
Electronic total energy = -8.033 eV per atom

Geometry as CIF:
```
data_MoHOsRh2
_chemical_formula_sum 'Mo1 H1 Os1 Rh2'
_symmetry_space_group_name_H-M 'P 4/m m m'
_symmetry_Int_Tables_number 123
_symmetry_space_group_name_Hall '-P 4 2'
_cell_length_a 3.8439
_cell_length_b 3.8439
_cell_length_c 4.0780
_cell_angle_alpha 90.00
_cell_angle_beta 90.00
_cell_angle_gamma 90.00
loop_
_atom_site_label
_atom_site_fract_x
_atom_site_fract_y
_atom_site_fract_z
_atom_site_occupancy
Mo1 0.0000 0.0000 0.0000 1
H1 0.0000 0.0000 0.5000 1
Os1 0.5000 0.5000 0.0000 1
Rh1 0.0000 0.5000 0.5000 1
```

=====

(7)
# MoHOsRh2

An optimized crystal structure of MoHOsRh2 (PBE, the Alexandria database).

Output
Electronic total energy = -8.033 eV per atom

Geometry as CIF:
```
data_MoHOsRh2
_chemical_formula_sum 'Mo1 H1 Os1 Rh2'
_symmetry_space_group_name_H-M 'P 4/m m m'
_symmetry_Int_Tables_number 123
_symmetry_space_group_name_Hall '-P 4 2'
_cell_length_a 3.8770
_cell_length_b 3.8770
_cell_length_c 4.0119
_cell_angle_alpha 90.00
_cell_angle_beta 90.00
_cell_angle_gamma 90.00
loop_
_atom_site_label
_atom_site_fract_x
_atom_site_fract_y
_atom_site_fract_z
_atom_site_occupancy
Mo1 0.0000 0.0000 0.0000 1
H1 0.5000 0.5000 0.5000 1
Os1 0.5000 0.5000 0.0000 1
Rh1 0.0000 0.5000 0.5000 1
```

=====

(8)
# MoHOsRu2

An optimized crystal structure of MoHOsRu2 (PBE, the Alexandria database).

Output
Distance to the lowest polymorph of the same formula = 0.00 eV/f.u.

Geometry as CIF:
```
data_MoHOsRu2
_chemical_formula_sum 'Mo1 H1 Os1 Ru2'
_symmetry_space_group_name_H-M 'P 4/m m m'
_symmetry_Int_Tables_number 123
_symmetry_space_group_name_Hall '-P 4 2'
_cell_length_a 3.9063
_cell_length_b 3.9063
_cell_length_c 3.9242
_cell_angle_alpha 90.00
_cell_angle_beta 90.00
_cell_angle_gamma 90.00
loop_
_atom_site_label
_atom_site_fract_x
_atom_site_fract_y
_atom_site_fract_z
_atom_site_occupancy
Mo1 0.0000 0.0000 0.0000 1
H1 0.5000 0.5000 0.5000 1
Os1 0.5000 0.5000 0.0000 1
Ru1 0.0000 0.5000 0.5000 1
```

=====

(9)
# MoHOsRu2

An optimized crystal structure of MoHOsRu2 (PBE, the Alexandria database).

Output
Distance to the lowest polymorph of the same formula = 12.19 eV/f.u.

Geometry as CIF:
```
data_MoHOsRu2
_chemical_formula_sum 'Mo1 H1 Os1 Ru2'
_symmetry_space_group_name_H-M 'P 4/m m m'
_symmetry_Int_Tables_number 123
_symmetry_space_group_name_Hall '-P 4 2'
_cell_length_a 4.6986
_cell_length_b 4.6986
_cell_length_c 4.7229
_cell_angle_alpha 90.00
_cell_angle_beta 90.00
_cell_angle_gamma 90.00
loop_
_atom_site_label
_atom_site_fract_x
_atom_site_fract_y
_atom_site_fract_z
_atom_site_occupancy
Mo1 0.0000 0.0000 0.0000 1
H1 0.5000 0.5000 0.5000 1
Os1 0.0000 0.0000 0.5000 1
Ru1 0.0000 0.5000 0.0000 1
```

=====

(10)
# MoHOsRu2

An optimized crystal structure of MoHOsRu2 (PBE, the Alexandria database).

Output
Distance to the lowest polymorph of the same formula = 0.03 eV/f.u.

Geometry as CIF:
```
data_MoHOsRu2
_chemical_formula_sum 'Mo1 H1 Os1 Ru2'
_symmetry_space_group_name_H-M 'P 4/m m m'
_symmetry_Int_Tables_number 123
_symmetry_space_group_name_Hall '-P 4 2'
_cell_length_a 3.8786
_cell_length_b 3.8786
_cell_length_c 3.9770
_cell_angle_alpha 90.00
_cell_angle_beta 90.00
_cell_angle_gamma 90.00
loop_
_atom_site_label
_atom_site_fract_x
_atom_site_fract_y
_atom_site_fract_z
_atom_site_occupancy
Mo1 0.0000 0.0000 0.0000 1
H1 0.0000 0.0000 0.5000 1
Os1 0.5000 0.5000 0.0000 1
Ru1 0.0000 0.5000 0.5000 1
```

=====

(11)
# MoHOsS2

An optimized crystal structure of MoHOsS2 (PBE, the Alexandria database).

Output
Electronic total energy = -6.162 eV per atom

Geometry as CIF:
```
data_MoHOsS2
_chemical_formula_sum 'Mo1 H1 Os1 S2'
_symmetry_space_group_name_H-M 'P 4/m m m'
_symmetry_Int_Tables_number 123
_symmetry_space_group_name_Hall '-P 4 2'
_cell_length_a 4.2312
_cell_length_b 4.2312
_cell_length_c 3.3174
_cell_angle_alpha 90.00
_cell_angle_beta 90.00
_cell_angle_gamma 90.00
loop_
_atom_site_label
_atom_site_fract_x
_atom_site_fract_y
_atom_site_fract_z
_atom_site_occupancy
Mo1 0.0000 0.0000 0.0000 1
H1 0.5000 0.5000 0.5000 1
Os1 0.5000 0.5000 0.0000 1
S1 0.0000 0.5000 0.5000 1
```

=====

(12)
# SnMoHOs

An optimized crystal structure of SnMoHOs (PBE, the Alexandria database).

Output
Distance to the lowest polymorph of the same formula = 1.40 eV/f.u.

Geometry as CIF:
```
data_SnMoHOs
_chemical_formula_sum 'Sn1 Mo1 H1 Os1'
_symmetry_space_group_name_H-M 'P 1 m 1'
_symmetry_Int_Tables_number 6
_cell_length_a 4.5426
_cell_length_b 2.9653
_cell_length_c 4.6344
_cell_angle_alpha 90.00
_cell_angle_beta 90.93
_cell_angle_gamma 90.00
loop_
_symmetry_equiv_pos_as_xyz
'x,y,z'
'x,-y,z'
loop_
_atom_site_label
_atom_site_fract_x
_atom_site_fract_y
_atom_site_fract_z
_atom_site_occupancy
Sn1 0.0000 0.0000 0.0000 1
Mo1 0.8392 0.5000 0.5062 1
H1 0.4616 0.5000 0.2840 1
Os1 0.3576 0.0000 0.4941 1
```

=====

Number 1: Fermi-level density of states 3.63 states/eV/cell. Number 2: Fermi-level density of states 4.16 states/eV/cell. Number 3: Fermi-level density of states 3.86 states/eV/cell. Number 4: Fermi-level density of states 4.29 states/eV/cell. Number 5: Fermi-level density of states 2.34 states/eV/cell. Number 6: Fermi-level density of states 3.29 states/eV/cell. Number 7: Fermi-level density of states 3.33 states/eV/cell. Number 8: Fermi-level density of states 2.58 states/eV/cell. Number 9: Fermi-level density of states 4.71 states/eV/cell. Number 10: Fermi-level density of states 4.13 states/eV/cell. Number 11: Fermi-level density of states 3.82 states/eV/cell. Number 12: Fermi-level density of states 3.17 states/eV/cell.